Na2LuPWO8: relaxed, PBE+U.

a = 6.8180 Å, b = 12.0832 Å, c = 18.2549 Å
α = 90.00°, β = 90.00°, γ = 90.00°
With the nearest neighbours (Å) after each atom.
Space group Ibca (No. 73)
One atom of each set of equivalent atoms:
Na (0.0009, 0.0573, 0.1547) [16 per cell]  3 O 2.30-2.49
Lu (0.2500, 0.1778, 0.5000) [8 per cell]  8 O 2.23-2.41
P (0.2500, 0.0686, 0.0000) [8 per cell]  4 O 1.55-1.56
W (0.0000, 0.2500, 0.3252) [8 per cell]  4 O 1.80-1.83
O (0.0451, 0.1281, 0.7706) [16 per cell]  1 W 1.80
O (0.0726, 0.1495, 0.0059) [16 per cell]  1 P 1.56
O (0.2169, 0.2242, 0.3819) [16 per cell]  1 W 1.83
O (0.2425, 0.0083, 0.5677) [16 per cell]  1 P 1.55

Magnetization in μB per formula unit: 0.000
Final energy in eV per cell: -734.08